[1]
First-principles (PBE) data for a geometry-optimized LiPt2Se structure, as listed in Alexandria.

a b c (Å): 2.8169 2.8169 9.3061
angles (deg): 90.00 90.00 120.48
Closest atoms and distances in Å follow each position.
Fractional positions:
Li 0.0000 0.0000 0.0000  4 Pt 2.59, 6 Li 2.80-2.82
Pt 0.5000 0.5000 0.2343  2 Li 2.59, 6 Pt 2.80-2.82, 2 Se 2.84
Pt 0.5000 0.5000 0.7657  2 Li 2.59, 6 Pt 2.80-2.82, 2 Se 2.84
Se 0.0000 0.0000 0.5000  6 Se 2.80-2.82, 4 Pt 2.84



[2]
First-principles (PBE) data for a geometry-optimized Li4PtSe structure, as listed in Alexandria.

a b c (Å): 4.9594 4.9594 4.9594
angles (deg): 60.00 60.00 60.00
Closest atoms and distances in Å follow each position.
Fractional positions:
Li 0.1233 0.1233 0.1233  6 Li 2.45-2.51
Li 0.1233 0.1233 0.6300  6 Li 2.45-2.51
Li 0.1233 0.6300 0.1233  6 Li 2.45-2.51
Li 0.6300 0.1233 0.1233  6 Li 2.45-2.51
Pt 0.7500 0.7500 0.7500  12 Li 2.90, 4 Se 3.04
Se 0.5000 0.5000 0.5000  12 Li 2.91, 4 Pt 3.04



[3]
First-principles (PBE) data for a geometry-optimized LiPtSe structure, as listed in Alexandria.

**Offset from the most stable computed form**: 132 meV per atom

a b c (Å): 4.5944 4.5944 4.5944
angles (deg): 135.48 135.21 64.99
Closest atoms and distances in Å follow each position.
Fractional positions:
Li 0.0000 0.0000 0.0000  5 Se 2.57-2.79, 5 Pt 2.67-2.75
Pt 0.3449 0.3449 0.0000  1 Se 2.51, 5 Li 2.67-2.75
Se 0.6685 0.6685 0.0000  1 Pt 2.51, 5 Li 2.57-2.79



How do the records compare in uncorrected formation energy? In the order shown, they have -37; -271; -364 meV/atom.